1.
ZnFe2Hg: relaxed, PBE.

a b c (Å): 6.181 6.181 6.181
angles (deg): 90.00 90.00 90.00
Space group F-43m (No. 216)
Unique sites:
Zn  0.000  0.000  0.000
Fe  0.000  0.000  0.500
Fe  0.250  0.250  0.750
Hg  0.250  0.250  0.250



2.
Zn2FeHg: relaxed, PBE.

a b c (Å): 3.977 3.977 3.915
angles (deg): 90.00 90.00 90.00
Space group P4/mmm (No. 123)
Unique sites:
Zn  0.000  0.500  0.000
Fe  0.000  0.000  0.500
Hg  0.500  0.500  0.500



3.
ZnFe2Hg: relaxed, PBE.

a b c (Å): 2.8766 2.8766 26.4180
angles (deg): 90.00 90.00 120.00
Space group R3m (No. 160, hexagonal axes)
Unique sites:
Zn  0.0000  0.0000  0.0000
Fe  0.0000  0.0000  0.4751
Fe  0.0000  0.0000  0.7437
Hg  0.0000  0.0000  0.2323



4.
Zn2FeHg2: relaxed, PBE.

Output
Energy relative to the lowest polymorph listed for this composition (kJ/mol of formula units): 0

a b c (Å): 6.697 6.697 4.126
angles (deg): 90.00 90.00 90.00
Space group P4/mbm (No. 127)
Unique sites:
Zn  0.136  0.364  0.000
Fe  0.000  0.000  0.000
Hg  0.178  0.678  0.500



5.
ZnFeHg: relaxed, PBE.

Output
Energy relative to the lowest polymorph listed for this composition (kJ/mol of formula units): 67

a b c (Å): 6.115 6.115 6.115
angles (deg): 90.00 90.00 90.00
Space group F-43m (No. 216)
Unique sites:
Zn  0.000  0.000  0.000
Fe  0.250  0.250  0.250
Hg  0.000  0.000  0.500



6.
ZrFe2Hg: relaxed, PBE.

a b c (Å): 2.968 4.423 5.380
angles (deg): 90.00 93.81 90.00
Space group P2/m (No. 10)
Unique sites:
Zr  0.000  0.000  0.000
Fe  0.345  0.500  0.796
Hg  0.500  0.000  0.500



7.
ZrFe2Hg: relaxed, PBE.

a b c (Å): 4.194 4.194 3.583
angles (deg): 90.00 90.00 90.00
Space group P4/mmm (No. 123)
Unique sites:
Zr  0.000  0.000  0.000
Fe  0.000  0.500  0.500
Hg  0.500  0.500  0.000



8.
ZrFeHg2: relaxed, PBE.

Output
Energy relative to the lowest polymorph listed for this composition (kJ/mol of formula units): 29

a b c (Å): 3.106 3.106 7.962
angles (deg): 90.00 90.00 90.00
Space group P4/mmm (No. 123)
Unique sites:
Zr  0.000  0.000  0.000
Fe  0.000  0.000  0.500
Hg  0.500  0.500  0.274



9.
ZrFeHg2: relaxed, PBE.

Output
Energy relative to the lowest polymorph listed for this composition (kJ/mol of formula units): 27

a b c (Å): 4.233 4.233 4.364
angles (deg): 90.00 90.00 90.00
Space group P4/mmm (No. 123)
Unique sites:
Zr  0.000  0.000  0.000
Fe  0.500  0.500  0.000
Hg  0.000  0.500  0.500



10.
ZrFeHg2: relaxed, PBE.

Output
Energy relative to the lowest polymorph listed for this composition (kJ/mol of formula units): 31

a b c (Å): 3.064 3.930 6.387
angles (deg): 90.00 90.12 90.00
Space group P2/m (No. 10)
Unique sites:
Zr  0.000  0.000  0.000
Fe  0.000  0.000  0.500
Hg  0.499  0.500  0.728



11.
ZrFeHg: relaxed, PBE.

Output
Energy relative to the lowest polymorph listed for this composition (kJ/mol of formula units): 81

a b c (Å): 6.251 6.251 6.251
angles (deg): 90.00 90.00 90.00
Space group F-43m (No. 216)
Unique sites:
Zr  0.000  0.000  0.000
Fe  0.250  0.250  0.750
Hg  0.000  0.000  0.500



12.
Zr6FeHg2: relaxed, PBE.

a b c (Å): 8.1577 8.1577 3.3266
angles (deg): 90.00 90.00 120.00
Space group P-62m (No. 189)
Unique sites:
Zr  0.0000  0.3823  0.0000
Zr  0.0000  0.7604  0.5000
Fe  0.0000  0.0000  0.0000
Hg  0.3333  0.6667  0.5000



Number 1: energy relative to the elements 1.3 eV per formula unit, DFT total energy -4.30 eV/atom. Number 2: energy relative to the elements 0.8 eV per formula unit, DFT total energy -2.64 eV/atom. Number 3: energy relative to the elements 1.2 eV per formula unit, DFT total energy -4.33 eV/atom. Number 4: energy relative to the elements 1.9 eV per formula unit, DFT total energy -1.94 eV/atom. Number 5: energy relative to the elements 1.5 eV per formula unit, DFT total energy -2.84 eV/atom. Number 6: energy relative to the elements 1.1 eV per formula unit, DFT total energy -6.16 eV/atom. Number 7: energy relative to the elements 0.6 eV per formula unit, DFT total energy -6.29 eV/atom. Number 8: energy relative to the elements 0.7 eV per formula unit, DFT total energy -4.24 eV/atom. Number 9: energy relative to the elements 0.7 eV per formula unit, DFT total energy -4.24 eV/atom. Number 10: energy relative to the elements 0.7 eV per formula unit, DFT total energy -4.23 eV/atom. Number 11: energy relative to the elements 0.9 eV per formula unit, DFT total energy -5.46 eV/atom. Number 12: energy relative to the elements -1.4 eV per formula unit, DFT total energy -6.87 eV/atom.